## Sr2TaAu (GGA-PBE)

Data for crystalline Sr2TaAu at its relaxed geometry.

Cell and atoms, written as POSCAR:
```
Sr2TaAu
1.0
4.4713 0.0000 0.0000
0.0000 4.9153 -0.0009
0.0000 2.4551 5.8877
Au Sr Ta
1 2 1
Cartesian
2.2357 4.6077 4.3769
0.0000 7.0638 5.3801
2.2357 2.1484 1.8882
0.0000 4.6060 3.0718
```

Calculated values
The calculation puts the uncorrected energy at -4.286 eV per atom. Its formation enthalpy at 0 K is 337.8 meV per atom.